Material: K3W2O7
Method: DFT, PBE+U
State: optimized geometry

Properties
* E: -6.36 eV per atom
* space group: No. 65
* V: 180.61 Å³/f.u.

Cell lengths 11.509, 11.509, 3.983 Å; angles 90.00, 90.00, 159.98 degrees
Fractional positions:
K  0.000  0.000  0.000
K  0.181  0.819  0.000
K  0.819  0.181  0.000
W  0.410  0.590  0.500
W  0.590  0.410  0.500
O  0.087  0.913  0.500
O  0.328  0.672  0.500
O  0.413  0.587  0.000
O  0.500  0.500  0.500
O  0.587  0.413  0.000
O  0.672  0.328  0.500
O  0.913  0.087  0.500